(P)
Ta2ReGe2 | PBE | relaxed

The structure in POSCAR format:
```
Ta2ReGe2
1.0
3.394 0.000 0.000
0.000 3.394 0.000
1.697 1.697 7.467
Re Ge Ta
1 2 2
direct
0.000 0.000 0.000
0.750 0.250 0.500
0.250 0.750 0.500
0.397 0.397 0.206
0.603 0.603 0.794
```

## Properties
For the calculated density, the calculation gives 13.4 g/cm3. The calculation puts the density of states at the Fermi level at 0.298 states/eV per atom. The calculated volume comes out at 86 Å³ per cell. Its space group is I4/mmm (139).

(Q)
Ta2ReGe2 | PBE | relaxed

The structure in POSCAR format:
```
Ta2ReGe2
1.0
-1.322 0.298 -6.260
-2.493 -5.894 0.246
-3.588 1.552 0.831
Re Ge Ta
2 4 4
direct
0.000 0.000 0.000
0.500 0.500 0.000
0.360 0.860 0.000
0.860 0.640 0.000
0.640 0.140 0.000
0.140 0.360 0.000
0.164 0.664 0.500
0.664 0.836 0.500
0.836 0.336 0.500
0.336 0.164 0.500
```

## Properties
For the calculated density, the calculation gives 14.0 g/cm3. The calculation puts the density of states at the Fermi level at 0.615 states/eV per atom. The calculated volume comes out at 164 Å³ per cell. Its space group is P4/mbm (127).

Stability check: which of them is least stable? (P).

(P)
TaReGe | PBE | relaxed

The structure in POSCAR format:
```
TaReGe
1.0
2.833 0.000 0.000
0.000 4.444 0.000
0.000 -2.222 3.848
Re Ge Ta
1 1 1
direct
0.145 0.000 0.000
0.162 0.667 0.333
0.693 0.333 0.667
```

## Properties
For the calculated density, the calculation gives 15.1 g/cm3. The calculation puts the density of states at the Fermi level at 0.776 states/eV per atom. The calculated volume comes out at 48 Å³ per cell. Its space group is P3m1 (156).

(Q)
TaReGe | PBE | relaxed

The structure in POSCAR format:
```
TaReGe
1.0
6.114 0.000 -3.016
-1.684 6.124 -3.413
-0.023 0.018 7.658
Ta Re Ge
6 6 6
direct
0.755 0.028 0.555
0.199 0.972 0.445
0.343 0.752 0.004
0.339 0.248 0.996
0.147 0.441 0.383
0.764 0.559 0.617
0.003 0.000 0.000
0.003 0.500 0.000
0.499 0.415 0.747
0.752 0.585 0.253
0.752 0.168 0.253
0.499 0.832 0.747
0.706 0.214 0.928
0.779 0.786 0.072
0.423 0.173 0.335
0.088 0.827 0.665
0.088 0.338 0.665
0.423 0.662 0.335
```

## Properties
For the calculated density, the calculation gives 15.3 g/cm3. The calculation puts the density of states at the Fermi level at 0.466 states/eV per atom. The calculated volume comes out at 287 Å³ per cell. Its space group is Ima2 (46).

Stability check: which of them is least stable? (P).

(P)
ReTcGe2 | PBE | relaxed

The structure in POSCAR format:
```
ReTcGe2
1.0
0.000 3.075 3.075
3.075 0.000 3.075
3.075 3.075 0.000
Re Ge Tc
1 2 1
direct
0.500 0.500 0.500
0.250 0.250 0.250
0.750 0.750 0.750
0.000 0.000 0.000
```

## Properties
For the calculated density, the calculation gives 12.3 g/cm3. The calculation puts the density of states at the Fermi level at 1.048 states/eV per atom. The calculated volume comes out at 58 Å³ per cell. Its space group is Fm-3m (225).

(Q)
ReTcGe2 | PBE | relaxed

The structure in POSCAR format:
```
ReTcGe2
1.0
2.857 0.000 0.000
1.429 2.474 0.000
1.429 0.825 9.118
Re Ge Tc
1 2 1
direct
0.000 0.000 0.000
0.094 0.094 0.719
0.906 0.906 0.281
0.500 0.500 0.500
```

## Properties
For the calculated density, the calculation gives 11.1 g/cm3. The calculation puts the density of states at the Fermi level at 0.914 states/eV per atom. The calculated volume comes out at 64 Å³ per cell. Its space group is R-3m (166).

Stability check: which of them is least stable? (Q).

(P)
ReTcGe2 | PBE | relaxed

The structure in POSCAR format:
```
ReTcGe2
1.0
-5.519 -4.289 0.698
4.265 -5.563 -0.458
-0.310 -4.901 2.774
Re Ge Tc
2 4 2
direct
0.000 0.000 0.000
0.750 0.250 0.500
0.628 0.125 0.250
0.122 0.625 0.250
0.375 0.372 0.750
0.875 0.878 0.750
0.500 0.500 0.000
0.250 0.750 0.500
```

## Properties
For the calculated density, the calculation gives 10.8 g/cm3. The calculation puts the density of states at the Fermi level at 1.039 states/eV per atom. The calculated volume comes out at 132 Å³ per cell. Its space group is I-42d (122).

(Q)
ReTcGe2 | PBE | relaxed

The structure in POSCAR format:
```
ReTcGe2
1.0
3.070 0.000 0.000
0.000 4.350 0.000
0.000 0.000 4.350
Re Ge Tc
1 2 1
direct
0.500 0.000 0.000
0.000 0.000 0.500
0.000 0.500 0.000
0.500 0.500 0.500
```

## Properties
For the calculated density, the calculation gives 12.3 g/cm3. The calculation puts the density of states at the Fermi level at 0.862 states/eV per atom. The calculated volume comes out at 58 Å³ per cell. Its space group is P4/mmm (123).

Stability check: which of them is least stable? (P).

(P)
ReGeTe3 | PBE | relaxed

The structure in POSCAR format:
```
ReGeTe3
1.0
5.156 0.000 0.000
0.000 5.156 0.000
0.000 0.000 5.156
Re Ge Te
1 1 3
direct
0.500 0.500 0.500
0.000 0.000 0.000
0.000 0.500 0.000
0.000 0.000 0.500
0.500 0.000 0.000
```

## Properties
For the calculated density, the calculation gives 7.8 g/cm3. The calculation puts the density of states at the Fermi level at 0.916 states/eV per atom. The calculated volume comes out at 137 Å³ per cell. Its space group is Pm-3m (221).

(Q)
ReGeTe3 | PBE | relaxed

The structure in POSCAR format:
```
ReGeTe3
1.0
-4.370 1.244 -2.617
-0.510 -4.992 -1.522
-2.853 -1.014 4.282
Re Ge Te
1 1 3
direct
0.000 0.000 0.000
0.500 0.500 0.500
0.000 0.500 0.000
0.000 0.000 0.500
0.500 0.000 0.000
```

## Properties
For the calculated density, the calculation gives 7.4 g/cm3. The calculation puts the density of states at the Fermi level at 1.384 states/eV per atom. The calculated volume comes out at 144 Å³ per cell. Its space group is Pm-3m (221).

Stability check: which of them is least stable? (P).

(P)
TiReGe2 | PBE | relaxed

The structure in POSCAR format:
```
TiReGe2
1.0
-3.643 0.230 -0.037
-1.951 -1.492 2.702
-1.575 4.662 3.904
Ti Re Ge
1 1 2
direct
0.671 0.671 0.987
0.497 0.497 0.510
0.086 0.086 0.743
0.247 0.247 0.259
```

## Properties
For the calculated density, the calculation gives 9.2 g/cm3. The calculation puts the density of states at the Fermi level at 0.976 states/eV per atom. The calculated volume comes out at 68 Å³ per cell. Its space group is R3m (160).

(Q)
TiReGe2 | PBE | relaxed

The structure in POSCAR format:
```
TiReGe2
1.0
3.798 0.000 0.000
0.000 3.798 0.000
1.899 1.899 9.267
Re Ge Ti
2 4 2
direct
0.000 0.000 0.000
0.750 0.250 0.500
0.617 0.125 0.250
0.133 0.625 0.250
0.375 0.383 0.750
0.875 0.867 0.750
0.500 0.500 0.000
0.250 0.750 0.500
```

## Properties
For the calculated density, the calculation gives 9.4 g/cm3. The calculation puts the density of states at the Fermi level at 0.891 states/eV per atom. The calculated volume comes out at 134 Å³ per cell. Its space group is I-42d (122).

Stability check: which of them is least stable? (Q).

(P)
TiReGe | PBE | relaxed

The structure in POSCAR format:
```
TiReGe
1.0
6.239 0.000 -3.077
-1.531 5.569 -3.104
-0.091 0.395 7.679
Ti Re Ge
6 6 6
direct
0.753 0.049 0.599
0.155 0.951 0.401
0.352 0.750 0.000
0.352 0.250 0.000
0.155 0.451 0.401
0.753 0.549 0.599
0.020 0.000 0.000
0.020 0.500 0.000
0.487 0.367 0.734
0.753 0.633 0.266
0.753 0.133 0.266
0.487 0.867 0.734
0.753 0.250 0.000
0.753 0.750 0.000
0.420 0.167 0.333
0.087 0.833 0.667
0.087 0.333 0.667
0.420 0.667 0.333
```

## Properties
For the calculated density, the calculation gives 11.1 g/cm3. The calculation puts the density of states at the Fermi level at 0.425 states/eV per atom. The calculated volume comes out at 275 Å³ per cell. Its space group is P-62m (189).

(Q)
TiReGe | PBE | relaxed

The structure in POSCAR format:
```
TiReGe
1.0
4.288 0.000 0.000
0.000 2.857 0.000
0.000 1.429 7.613
Ti Ge Re
2 2 2
direct
0.250 0.110 0.780
0.750 0.890 0.220
0.250 0.448 0.104
0.750 0.552 0.896
0.750 0.718 0.564
0.250 0.282 0.436
```

## Properties
For the calculated density, the calculation gives 10.9 g/cm3. The calculation puts the density of states at the Fermi level at 0.847 states/eV per atom. The calculated volume comes out at 93 Å³ per cell. Its space group is Cmcm (63).

Stability check: which of them is least stable? (Q).

(P)
Ti3ReGe | PBE | relaxed

The structure in POSCAR format:
```
Ti3ReGe
1.0
-2.057 3.228 2.508
-3.861 -0.611 -2.380
-1.343 -3.186 2.998
Re Ge Ti
1 1 3
direct
0.500 0.500 0.500
0.000 0.000 0.000
0.000 0.500 0.000
0.000 0.000 0.500
0.500 0.000 0.000
```

## Properties
For the calculated density, the calculation gives 7.0 g/cm3. The calculation puts the density of states at the Fermi level at 1.324 states/eV per atom. The calculated volume comes out at 96 Å³ per cell. Its space group is Pm-3m (221).

(Q)
Ti3ReGe | PBE | relaxed

The structure in POSCAR format:
```
Ti3ReGe
1.0
-0.080 -3.480 3.217
4.730 0.144 0.274
-0.299 3.215 3.470
Re Ge Ti
1 1 3
direct
0.000 0.000 0.000
0.500 0.500 0.500
0.000 0.500 0.000
0.000 0.000 0.500
0.500 0.000 0.000
```

## Properties
For the calculated density, the calculation gives 6.3 g/cm3. The calculation puts the density of states at the Fermi level at 0.830 states/eV per atom. The calculated volume comes out at 106 Å³ per cell. Its space group is Pm-3m (221).

Stability check: which of them is least stable? (P).

(P)
TlReGe2 | PBE | relaxed

The structure in POSCAR format:
```
TlReGe2
1.0
-4.960 3.272 -0.628
-3.152 -4.974 -1.014
-5.367 -1.472 6.295
Re Tl Ge
2 2 4
direct
0.500 0.500 0.000
0.250 0.750 0.500
0.000 0.000 0.000
0.750 0.250 0.500
0.373 0.125 0.250
0.377 0.625 0.250
0.375 0.627 0.750
0.875 0.623 0.750
```

## Properties
For the calculated density, the calculation gives 6.9 g/cm3. The calculation puts the density of states at the Fermi level at 0.134 states/eV per atom. The calculated volume comes out at 259 Å³ per cell. Its space group is I-42d (122).

(Q)
TlReGe2 | PBE | relaxed

The structure in POSCAR format:
```
TlReGe2
1.0
3.187 0.000 0.000
1.593 2.760 0.000
1.593 0.920 9.243
Re Tl Ge
1 1 2
direct
0.500 0.500 0.500
0.000 0.000 0.000
0.103 0.103 0.692
0.897 0.897 0.308
```

## Properties
For the calculated density, the calculation gives 10.9 g/cm3. The calculation puts the density of states at the Fermi level at 0.411 states/eV per atom. The calculated volume comes out at 81 Å³ per cell. Its space group is R-3m (166).

(R)
TlReGe2 | PBE | relaxed

The structure in POSCAR format:
```
TlReGe2
1.0
0.000 3.339 3.339
3.339 0.000 3.339
3.339 3.339 0.000
Re Tl Ge
1 1 2
direct
0.000 0.000 0.000
0.500 0.500 0.500
0.250 0.250 0.250
0.750 0.750 0.750
```

## Properties
For the calculated density, the calculation gives 12.0 g/cm3. The calculation puts the density of states at the Fermi level at 1.040 states/eV per atom. The calculated volume comes out at 74 Å³ per cell. Its space group is Fm-3m (225).

Stability check: which of them is least stable? (R).

(P)
Tl3ReGe | PBE | relaxed

The structure in POSCAR format:
```
Tl3ReGe
1.0
-0.842 2.357 -4.724
-4.906 1.418 1.582
1.951 4.584 1.939
Re Tl Ge
1 3 1
direct
0.000 0.000 0.000
0.000 0.500 0.000
0.000 0.000 0.500
0.500 0.000 0.000
0.500 0.500 0.500
```

## Properties
For the calculated density, the calculation gives 9.5 g/cm3. The calculation puts the density of states at the Fermi level at 1.170 states/eV per atom. The calculated volume comes out at 153 Å³ per cell. Its space group is Pm-3m (221).

(Q)
Tl3ReGe | PBE | relaxed

The structure in POSCAR format:
```
Tl3ReGe
1.0
-3.974 -3.068 -2.102
0.135 -3.194 4.405
-3.717 3.164 2.409
Re Tl Ge
1 3 1
direct
0.500 0.500 0.500
0.000 0.500 0.000
0.000 0.000 0.500
0.500 0.000 0.000
0.000 0.000 0.000
```

## Properties
For the calculated density, the calculation gives 9.0 g/cm3. The calculation puts the density of states at the Fermi level at 0.721 states/eV per atom. The calculated volume comes out at 161 Å³ per cell. Its space group is Pm-3m (221).

Stability check: which of them is least stable? (Q).

(P)
TlRe2Ge | PBE | relaxed

The structure in POSCAR format:
```
TlRe2Ge
1.0
-2.682 -3.245 1.708
-4.511 0.536 -0.023
-2.572 -2.515 -2.775
Re Tl Ge
2 1 1
direct
0.250 0.250 0.250
0.750 0.750 0.750
0.500 0.500 0.500
0.000 0.000 0.000
```

## Properties
For the calculated density, the calculation gives 16.3 g/cm3. The calculation puts the density of states at the Fermi level at 1.051 states/eV per atom. The calculated volume comes out at 66 Å³ per cell. Its space group is Fm-3m (225).

(Q)
TlRe2Ge | PBE | relaxed

The structure in POSCAR format:
```
TlRe2Ge
1.0
-3.202 -1.442 2.244
0.826 -3.870 -1.308
4.449 -3.902 7.711
Re Tl Ge
4 2 2
direct
0.529 0.125 0.250
0.221 0.625 0.250
0.375 0.471 0.750
0.875 0.779 0.750
0.000 0.000 0.000
0.750 0.250 0.500
0.500 0.500 0.000
0.250 0.750 0.500
```

## Properties
For the calculated density, the calculation gives 13.4 g/cm3. The calculation puts the density of states at the Fermi level at 0.638 states/eV per atom. The calculated volume comes out at 161 Å³ per cell. Its space group is I-42d (122).

Stability check: which of them is least stable? (P).

(P)
TlRe3Ge | PBE | relaxed

The structure in POSCAR format:
```
TlRe3Ge
1.0
4.604 0.000 0.000
0.000 4.604 0.000
0.000 0.000 4.604
Re Tl Ge
3 1 1
direct
0.000 0.500 0.000
0.000 0.000 0.500
0.500 0.000 0.000
0.500 0.500 0.500
0.000 0.000 0.000
```

## Properties
For the calculated density, the calculation gives 14.2 g/cm3. The calculation puts the density of states at the Fermi level at 1.244 states/eV per atom. The calculated volume comes out at 98 Å³ per cell. Its space group is Pm-3m (221).

(Q)
TlRe3Ge | PBE | relaxed

The structure in POSCAR format:
```
TlRe3Ge
1.0
-1.388 3.557 -3.179
-4.690 -0.408 1.591
0.878 3.445 3.472
Re Tl Ge
3 1 1
direct
0.000 0.500 0.000
0.000 0.000 0.500
0.500 0.000 0.000
0.000 0.000 0.000
0.500 0.500 0.500
```

## Properties
For the calculated density, the calculation gives 11.3 g/cm3. The calculation puts the density of states at the Fermi level at 1.222 states/eV per atom. The calculated volume comes out at 123 Å³ per cell. Its space group is Pm-3m (221).

Stability check: which of them is least stable? (Q).

(P)
V2Re2Ge | PBE | relaxed

The structure in POSCAR format:
```
V2Re2Ge
1.0
3.945 0.000 0.000
0.000 3.945 0.000
1.973 1.973 5.476
Re Ge V
2 1 2
direct
0.384 0.384 0.232
0.616 0.616 0.768
0.000 0.000 0.000
0.750 0.250 0.500
0.250 0.750 0.500
```

## Properties
For the calculated density, the calculation gives 10.7 g/cm3. The calculation puts the density of states at the Fermi level at 0.737 states/eV per atom. The calculated volume comes out at 85 Å³ per cell. Its space group is I4/mmm (139).

(Q)
V2Re2Ge | PBE | relaxed

The structure in POSCAR format:
```
V2Re2Ge
1.0
7.273 0.000 0.000
0.000 7.273 0.000
0.000 0.000 2.918
Re Ge V
4 2 4
direct
0.359 0.859 0.000
0.859 0.641 0.000
0.641 0.141 0.000
0.141 0.359 0.000
0.000 0.000 0.000
0.500 0.500 0.000
0.155 0.655 0.500
0.655 0.845 0.500
0.845 0.345 0.500
0.345 0.155 0.500
```

## Properties
For the calculated density, the calculation gives 11.8 g/cm3. The calculation puts the density of states at the Fermi level at 1.246 states/eV per atom. The calculated volume comes out at 154 Å³ per cell. Its space group is P4/mbm (127).

Stability check: which of them is least stable? (P).